# 1
BaRe2Te: optimized geometry, PBE-GGA.

Geometry as extended XYZ:
```
4
Lattice="-2.109 2.109 5.253 2.109 -2.109 5.253 2.109 2.109 -5.253" Properties=species:S:1:pos:R:3 pbc="T T T"
Ba 0.000 0.000 0.000
Re 2.109 0.000 2.627
Re 0.000 2.109 2.627
Te 0.000 0.000 5.253
```

Calculated values
space-group type = I4/mmm
calculated volume = 93 Å³ per cell

# 2
BaRe2Te: optimized geometry, PBE-GGA.

Geometry as extended XYZ:
```
4
Lattice="3.068 -5.655 0.000 3.068 5.655 0.000 -1.325 0.000 2.587" Properties=species:S:1:pos:R:3 pbc="T T T"
Ba 0.000 0.000 0.000
Re 1.534 2.827 0.000
Re 1.534 -2.827 0.000
Te 3.068 0.000 0.000
```

Calculated values
space-group type = C2/m
calculated volume = 90 Å³ per cell

| no. | D(E_F) (states/eV per atom) | M_tot (μB per atom) | raw formation energy (eV per atom) |
| --- | --- | --- | --- |
| 1 | 1.27 | 0.00 | 1.51 |
| 2 | 1.22 | 0.00 | 1.36 |